Entry 1:
! GGA-PBE DyRuC2, relaxed; values from VASP
! Energy above the lowest structure with this stoichiometry (meV per atom): 428
! VASP energy (eV per atom): -7.862
! DOS at the Fermi energy (states/eV per atom): 0.338
! Calculated volume (Å³/cell): 147.6
! Formation energy from the elements (meV/atom): 220
&SYSTEM
  ibrav = 0, nat = 12, ntyp = 3
/
ATOMIC_SPECIES
Dy 162.50 Dy.upf
Ru 101.07 Ru.upf
C 12.01 C.upf
CELL_PARAMETERS angstrom
3.2944 0.0000 0.0000
-1.6472 2.8531 0.0000
0.0000 0.0000 15.6990
ATOMIC_POSITIONS crystal
Dy 0.0000 0.0000 0.0000
Dy 0.3333 0.6667 0.6667
Dy 0.6667 0.3333 0.3333
Ru 0.0000 0.0000 0.5000
Ru 0.3333 0.6667 0.1667
Ru 0.6667 0.3333 0.8333
C 0.0000 0.0000 0.2344
C 0.0000 0.0000 0.7656
C 0.3333 0.6667 0.4323
C 0.3333 0.6667 0.9010
C 0.6667 0.3333 0.0990
C 0.6667 0.3333 0.5677


Entry 2:
! GGA-PBE DyRuC, relaxed; values from VASP
! Energy above the lowest structure with this stoichiometry (meV per atom): 67
! VASP energy (eV per atom): -7.873
! DOS at the Fermi energy (states/eV per atom): 0.346
! Calculated volume (Å³/cell): 46.7
! Formation energy from the elements (meV/atom): -172
&SYSTEM
  ibrav = 0, nat = 3, ntyp = 3
/
ATOMIC_SPECIES
Dy 162.50 Dy.upf
Ru 101.07 Ru.upf
C 12.01 C.upf
CELL_PARAMETERS angstrom
3.3559 0.0000 0.0000
-1.6780 2.9063 0.0000
0.0000 0.0000 4.7858
ATOMIC_POSITIONS crystal
Dy 0.0000 0.0000 0.0000
Ru 0.3333 0.6667 0.5230
C 0.6667 0.3333 0.6655